# 1
First-principles (PBE-GGA) data for a geometry-optimized K2ZrTe2O6 structure, as listed in Alexandria.

Properties
Uncorrected formation energy ... -1.666 eV per atom
DFT total energy ... -5.9187 eV per atom
Size of the total moment ... 0.00 μB/f.u.

a b c (Å): 6.4110 6.4110 16.8173
angles (deg): 90.00 90.00 120.00
Space group R-3m (No. 166, hexagonal axes)
Asymmetric unit:
1 K 0.0000 0.0000 0.2060
2 Zr 0.0000 0.0000 0.0000
3 Te 0.0000 0.0000 0.4082
4 O 0.0322 0.5161 0.7461

***

# 2
First-principles (PBE-GGA) data for a geometry-optimized AgMoRu2 structure, as listed in Alexandria.

Properties
Offset from the most stable computed form ... 291 meV/atom
DFT total energy ... -7.5685 eV per atom
Calculated formation energy ... 490 meV/atom
N(E_F) ... 1.439 states/eV/atom
Size of the total moment ... 0.74 μB/f.u.

a b c (Å): 2.866 4.563 9.551
angles (deg): 90.00 90.00 90.00
Space group Cmm2 (No. 35)
Asymmetric unit:
1 Ag 0.000 0.000 0.000
2 Mo 0.000 0.500 0.268
3 Ru 0.000 0.000 0.503
4 Ru 0.000 0.500 0.738